An optimized crystal structure of LaB3Mo. Source: Alexandria, functional PBE.

Values from the calculation:
magnetic moment	0.000	μB/f.u.
E above lowest polymorph	0	meV per atom
ΔH_f (0 K)	0.16	eV/atom

Lattice parameters (Å, degrees): 4.248 4.248 4.248 90.00 90.00 90.00
Element x y z (fractional)
B: 0.000 0.000 0.500
La: 0.500 0.500 0.500
Mo: 0.000 0.000 0.000
B: 0.500 0.000 0.000
B: 0.000 0.500 0.000